This record from Alexandria via LeMat-Bulk describes AcTbGa2Rh2 after structural relaxation. The functional is PBE.

a = 4.4357 Å, b = 4.4357 Å, c = 7.7317 Å
α = 90.00°, β = 90.00°, γ = 120.00°
Space group P-3m1 (No. 164)
Inequivalent atoms, fractional coordinates:
Ac: 0.0000 0.0000 0.0000
Tb: 0.0000 0.0000 0.5000
Ga: 0.3333 0.6667 0.2865
Rh: 0.3333 0.6667 0.7121

Values from the calculation:
Calculated density in g cm⁻³: 9.216
Calculated formation energy in eV/atom: -0.791
Total energy in eV per atom: -5.706
Total magnetic moment in Bohr magnetons per cell: 0.000